DFT (GGA-PBE) results for a relaxed Na2Sb3Pt4Pb crystal.

As for the energy relative to the elements, uncorrected: -378 meV per atom. As for the space group: No. 115. As for the density of states at the Fermi level: 4.68 states/eV/cell. As for the total energy: -0.1715 Ha/atom.

Cell and atoms, written as POSCAR:
```
Na2Sb3Pt4Pb
1.0
4.7349 0.0000 0.0000
0.0000 4.7349 0.0000
0.0000 0.0000 10.6036
Na Sb Pt Pb
2 3 4 1
direct
0.0000 0.5000 0.2304
0.5000 0.0000 0.7696
0.0000 0.5000 0.8792
0.5000 0.0000 0.1208
0.5000 0.5000 0.5000
0.0000 0.0000 0.0000
0.0000 0.5000 0.6336
0.5000 0.0000 0.3664
0.5000 0.5000 0.0000
0.0000 0.0000 0.5000
```